The following is a PBE calculation of crystalline TmSi2Rh4 at its relaxed geometry, from Alexandria.

a b c (Å): 3.7311 7.6380 7.6380
angles (deg): 90.00 90.00 90.00
Last column: nearest neighbours and their distance in Å.
Atoms (fractional coordinates):
Tm  0.5000  0.0000  0.0000  6 Si 2.92-3.11, 8 Rh 3.16
Tm  0.0000  0.5000  0.5000  6 Si 2.92-3.11, 8 Rh 3.16
Si  0.0000  0.2299  0.7701  6 Rh 2.41-2.44
Si  0.0000  0.7701  0.2299  6 Rh 2.41-2.44
Si  0.5000  0.7299  0.7299  6 Rh 2.41-2.44
Si  0.5000  0.2701  0.2701  6 Rh 2.41-2.44
Rh  0.0000  0.0712  0.3260  3 Si 2.41-2.44
Rh  0.0000  0.9288  0.6740  3 Si 2.41-2.44
Rh  0.5000  0.1740  0.5712  3 Si 2.41-2.44
Rh  0.5000  0.8260  0.4288  3 Si 2.41-2.44
Rh  0.5000  0.4288  0.8260  3 Si 2.41-2.44
Rh  0.5000  0.5712  0.1740  3 Si 2.41-2.44
Rh  0.0000  0.3260  0.0712  3 Si 2.41-2.44
Rh  0.0000  0.6740  0.9288  3 Si 2.41-2.44

Summary:
space-group type: P4_2/mnm, No. 136
N(E_F): 4.86 states/eV/f.u.
energy above the lowest structure with this stoichiometry: 51 meV per atom
formation energy without anion corrections: -885 meV per atom